# Ac2MoPO8 PBE+U optimized geometry
data_Ac2MoPO8
_cell_length_a 5.7333
_cell_length_b 5.7333
_cell_length_c 5.6939
_cell_angle_alpha 90.00
_cell_angle_beta 90.00
_cell_angle_gamma 120.00
_symmetry_space_group_name_H-M 'P -3 m 1'
_symmetry_Int_Tables_number 164
_symmetry_space_group_name_Hall '-P 3 2"'
loop_
_atom_site_label
_atom_site_type_symbol
_atom_site_fract_x
_atom_site_fract_y
_atom_site_fract_z
Ac1 Ac 0.3333 0.6667 0.3540
Mo1 Mo 0.0000 0.0000 0.0000
P1 P 0.0000 0.0000 0.5000
O1 O 0.1391 0.2782 0.6831
O2 O 0.3333 0.6667 0.9864
# DFT total energy (eV per atom): -6.937